A plane-wave DFT calculation with GGA-PBE was carried out for an optimized crystal structure of PuZnInSn.

Geometry as POSCAR:
```
PuZnInSn
1.0
-0.002 -3.476 -2.779
4.198 1.023 -1.283
1.701 -2.718 3.399
Pu Sn In Zn
1 1 1 1
direct
0.500 0.000 0.500
0.000 0.500 0.500
0.500 0.500 0.000
0.000 0.000 0.000
```

Output
Formation enthalpy at 0 K: -0.224 eV/atom
VASP energy: -5.811 eV/atom
Volume: 94 Å³/cell
SG: No. 47
ΔE to the lowest computed polymorph: 0.00 kJ per mole of atoms


A plane-wave DFT calculation with GGA-PBE was carried out for an optimized crystal structure of PuZnInSn.

Geometry as POSCAR:
```
PuZnInSn
1.0
-2.778 -3.738 -2.174
-3.196 -2.826 2.866
-5.084 0.547 -0.521
Pu In Zn Sn
1 1 1 1
direct
0.750 0.750 0.750
0.250 0.250 0.250
0.500 0.500 0.500
0.000 0.000 0.000
```

Output
Formation enthalpy at 0 K: -0.063 eV/atom
VASP energy: -5.650 eV/atom
Volume: 96 Å³/cell
SG: No. 216
ΔE to the lowest computed polymorph: 15.58 kJ per mole of atoms


A plane-wave DFT calculation with GGA-PBE was carried out for an optimized crystal structure of SrPuIn.

Geometry as POSCAR:
```
SrPuIn
1.0
3.537 0.000 0.000
-1.768 9.224 -0.195
0.000 -0.612 5.306
Pu Sr In
2 2 2
direct
0.759 0.517 0.639
0.241 0.483 0.361
0.435 0.870 0.722
0.565 0.130 0.278
0.127 0.255 0.814
0.873 0.745 0.186
```

Output
Formation enthalpy at 0 K: 0.056 eV/atom
VASP energy: -6.195 eV/atom
Volume: 173 Å³/cell
SG: No. 12


A plane-wave DFT calculation with GGA-PBE was carried out for an optimized crystal structure of SrPuIn4.

Geometry as POSCAR:
```
SrPuIn4
1.0
-4.442 0.240 -4.294
1.314 -1.363 -5.886
-2.151 -5.221 -2.518
In Pu Sr
4 1 1
direct
0.625 0.625 0.124
0.625 0.124 0.625
0.625 0.625 0.625
0.124 0.625 0.625
0.000 0.000 0.000
0.250 0.250 0.250
```

Output
Formation enthalpy at 0 K: -0.213 eV/atom
VASP energy: -4.708 eV/atom
Volume: 167 Å³/cell
SG: No. 216


A plane-wave DFT calculation with GGA-PBE was carried out for an optimized crystal structure of Sr2PuIn6.

Geometry as POSCAR:
```
Sr2PuIn6
1.0
-3.138 1.547 1.346
3.932 1.102 7.902
4.445 7.506 1.739
Sr In Pu
2 6 1
direct
0.000 0.667 0.667
0.000 0.333 0.333
0.500 0.000 0.329
0.500 0.329 0.671
0.500 0.671 0.000
0.500 0.671 0.329
0.500 0.329 0.000
0.500 0.000 0.671
0.000 0.000 0.000
```

Output
Formation enthalpy at 0 K: -0.297 eV/atom
VASP energy: -4.089 eV/atom
Volume: 257 Å³/cell
SG: No. 65


A plane-wave DFT calculation with GGA-PBE was carried out for an optimized crystal structure of SrPuIn6.

Geometry as POSCAR:
```
SrPuIn6
1.0
4.750 0.000 0.000
0.000 4.750 0.000
0.000 0.000 9.519
In Pu Sr
6 1 1
direct
0.500 0.000 0.740
0.000 0.500 0.740
0.500 0.500 0.000
0.500 0.000 0.260
0.000 0.500 0.260
0.500 0.500 0.500
0.000 0.000 0.500
0.000 0.000 0.000
```

Output
Formation enthalpy at 0 K: -0.253 eV/atom
VASP energy: -4.309 eV/atom
Volume: 215 Å³/cell
SG: No. 123


A plane-wave DFT calculation with GGA-PBE was carried out for an optimized crystal structure of SrPuTlIn.

Geometry as POSCAR:
```
SrPuTlIn
1.0
-5.504 -0.487 -0.898
-3.457 -1.006 4.286
-3.491 3.998 1.779
Sr In Pu Tl
1 1 1 1
direct
0.750 0.750 0.750
0.500 0.500 0.500
0.250 0.250 0.250
0.000 0.000 0.000
```

Output
Formation enthalpy at 0 K: -0.163 eV/atom
VASP energy: -5.443 eV/atom
Volume: 124 Å³/cell
SG: No. 216


A plane-wave DFT calculation with GGA-PBE was carried out for an optimized crystal structure of Tb2PuIn.

Geometry as POSCAR:
```
Tb2PuIn
1.0
5.412 0.000 0.000
2.706 4.687 0.000
2.706 1.562 4.419
In Pu Tb
1 1 2
direct
0.500 0.500 0.500
0.000 0.000 0.000
0.750 0.750 0.750
0.250 0.250 0.250
```

Output
Formation enthalpy at 0 K: -0.057 eV/atom
VASP energy: -6.640 eV/atom
Volume: 112 Å³/cell
SG: No. 225
ΔE to the lowest computed polymorph: 8.85 kJ per mole of atoms


A plane-wave DFT calculation with GGA-PBE was carried out for an optimized crystal structure of Tb5PuIn6.

Geometry as POSCAR:
```
Tb5PuIn6
1.0
5.112 0.001 -1.583
-0.824 6.980 -2.660
0.034 -0.514 9.258
Tb In Pu
5 6 1
direct
0.339 0.839 0.677
0.668 0.669 0.337
0.661 0.161 0.323
0.000 0.500 0.000
0.332 0.331 0.663
0.169 0.423 0.338
0.500 0.741 0.000
0.831 0.577 0.662
0.169 0.914 0.338
0.831 0.086 0.662
0.500 0.259 0.000
0.000 0.000 0.000
```

Output
Formation enthalpy at 0 K: -0.411 eV/atom
VASP energy: -4.904 eV/atom
Volume: 323 Å³/cell
SG: No. 12


A plane-wave DFT calculation with GGA-PBE was carried out for an optimized crystal structure of Tb2PuIn.

Geometry as POSCAR:
```
Tb2PuIn
1.0
-1.996 -0.011 -4.169
2.164 -4.294 -1.025
-3.870 -2.394 1.859
Tb In Pu
2 1 1
direct
0.000 0.500 0.000
0.000 0.000 0.500
0.500 0.500 0.500
0.500 0.000 0.000
```

Output
Formation enthalpy at 0 K: -0.149 eV/atom
VASP energy: -6.732 eV/atom
Volume: 112 Å³/cell
SG: No. 123
ΔE to the lowest computed polymorph: 0.00 kJ per mole of atoms


A plane-wave DFT calculation with GGA-PBE was carried out for an optimized crystal structure of TbPuIn4.

Geometry as POSCAR:
```
TbPuIn4
1.0
3.472 0.000 0.004
0.000 5.044 0.000
-0.012 0.000 8.811
In Pu Tb
4 1 1
direct
0.003 0.000 0.668
0.002 0.500 0.165
0.998 0.500 0.835
0.997 0.000 0.332
0.500 0.500 0.500
0.500 0.000 0.000
```

Output
Formation enthalpy at 0 K: -0.288 eV/atom
VASP energy: -5.274 eV/atom
Volume: 154 Å³/cell
SG: No. 10
ΔE to the lowest computed polymorph: 0.00 kJ per mole of atoms


A plane-wave DFT calculation with GGA-PBE was carried out for an optimized crystal structure of TbPu2In.

Geometry as POSCAR:
```
TbPu2In
1.0
4.148 0.000 0.000
0.000 4.148 0.000
0.000 0.000 6.502
Pu Tb In
2 1 1
direct
0.000 0.000 0.233
0.000 0.000 0.767
0.500 0.500 0.500
0.500 0.500 0.000
```

Output
Formation enthalpy at 0 K: 0.049 eV/atom
VASP energy: -8.959 eV/atom
Volume: 112 Å³/cell
SG: No. 123
ΔE to the lowest computed polymorph: 16.08 kJ per mole of atoms


Question: What is the formula in the second record?
Answer: PuZnInSn


Question: Look up the VASP energy of the eleventh one.
Answer: -5.274 eV/atom


Please write out number 11 again, unchanged.
A plane-wave DFT calculation with GGA-PBE was carried out for an optimized crystal structure of TbPuIn4.

Geometry as POSCAR:
```
TbPuIn4
1.0
3.472 0.000 0.004
0.000 5.044 0.000
-0.012 0.000 8.811
In Pu Tb
4 1 1
direct
0.003 0.000 0.668
0.002 0.500 0.165
0.998 0.500 0.835
0.997 0.000 0.332
0.500 0.500 0.500
0.500 0.000 0.000
```

Output
Formation enthalpy at 0 K: -0.288 eV/atom
VASP energy: -5.274 eV/atom
Volume: 154 Å³/cell
SG: No. 10
ΔE to the lowest computed polymorph: 0.00 kJ per mole of atoms


Question: Which value of formation enthalpy at 0 K does entry 7 give?
Answer: -0.163 eV/atom